Arrangement a

## CsAgPCl2 (GGA-PBE)

Data for a relaxed CsAgPCl2 crystal.

Cell lengths 6.3954, 6.3954, 5.9422 Å; angles 90.00, 90.00, 90.00 degrees
Space group P4/mmm (No. 123)
Asymmetric unit:
1 Cs 0.0000 0.0000 0.0000 (multiplicity 1)
2 Ag 0.5000 0.5000 0.5000 (multiplicity 1)
3 P 0.0000 0.0000 0.5000 (multiplicity 1)
4 Cl 0.0000 0.5000 0.0000 (multiplicity 2)

## Properties
volume = 243.04 Å³ per cell



Arrangement b

## CsAgPCl2 (GGA-PBE)

Data for a relaxed CsAgPCl2 crystal.

Cell lengths 5.5787, 5.5787, 4.7136 Å; angles 90.00, 90.00, 90.00 degrees
Space group P4/mmm (No. 123)
Asymmetric unit:
1 Cs 0.0000 0.0000 0.0000 (multiplicity 1)
2 Ag 0.5000 0.5000 0.5000 (multiplicity 1)
3 P 0.5000 0.5000 0.0000 (multiplicity 1)
4 Cl 0.0000 0.5000 0.5000 (multiplicity 2)

## Properties
volume = 146.70 Å³ per cell



Which of them is the most stable? Correct choice: arrangement b.



Arrangement a

## Cs2SrAgCl6 (GGA-PBE)

Data for a relaxed Cs2SrAgCl6 crystal.

Cell lengths 7.8509, 7.8509, 10.7446 Å; angles 90.00, 90.00, 90.00 degrees
Space group I4/mmm (No. 139)
Asymmetric unit:
1 Cs 0.0000 0.5000 0.2500 (multiplicity 4)
2 Sr 0.0000 0.0000 0.0000 (multiplicity 2)
3 Ag 0.0000 0.0000 0.5000 (multiplicity 2)
4 Cl 0.0000 0.0000 0.2676 (multiplicity 4)
5 Cl 0.2439 0.2439 0.5000 (multiplicity 8)

## Properties
volume = 662.26 Å³ per cell



Arrangement b

## Cs2SrAgCl6 (GGA-PBE)

Data for a relaxed Cs2SrAgCl6 crystal.

Cell lengths 5.5763, 5.5763, 10.7368 Å; angles 90.00, 90.00, 90.00 degrees
Space group P4/mmm (No. 123)
Asymmetric unit:
1 Cs 0.0000 0.0000 0.2274 (multiplicity 2)
2 Sr 0.5000 0.5000 0.5000 (multiplicity 1)
3 Ag 0.5000 0.5000 0.0000 (multiplicity 1)
4 Cl 0.0000 0.5000 0.0000 (multiplicity 2)
5 Cl 0.0000 0.5000 0.5000 (multiplicity 2)
6 Cl 0.5000 0.5000 0.2296 (multiplicity 2)

## Properties
volume = 333.86 Å³ per cell



Which of them is the most stable? Correct choice: arrangement b.



Arrangement a

## CuAg3Cl (GGA-PBE)

Data for a relaxed CuAg3Cl crystal.

Cell lengths 4.8868, 4.8868, 4.8868 Å; angles 90.00, 90.00, 90.00 degrees
Space group Pm-3m (No. 221)
Asymmetric unit:
1 Cu 0.0000 0.0000 0.0000 (multiplicity 1)
2 Ag 0.0000 0.0000 0.5000 (multiplicity 3)
3 Cl 0.5000 0.5000 0.5000 (multiplicity 1)

## Properties
volume = 116.70 Å³ per cell



Arrangement b

## CuAg3Cl (GGA-PBE)

Data for a relaxed CuAg3Cl crystal.

Cell lengths 5.0210, 5.0210, 5.0210 Å; angles 90.00, 90.00, 90.00 degrees
Space group Pm-3m (No. 221)
Asymmetric unit:
1 Cu 0.0000 0.0000 0.0000 (multiplicity 1)
2 Ag 0.0000 0.5000 0.5000 (multiplicity 3)
3 Cl 0.5000 0.5000 0.5000 (multiplicity 1)

## Properties
volume = 126.58 Å³ per cell



Which of them is the most stable? Correct choice: arrangement a.



Arrangement a

## CuAgCl (GGA-PBE)

Data for a relaxed CuAgCl crystal.

Cell lengths 4.4169, 4.4169, 3.1771 Å; angles 90.00, 90.00, 120.00 degrees
Space group P-6m2 (No. 187)
Asymmetric unit:
1 Cu 0.0000 0.0000 0.0000 (multiplicity 1)
2 Ag 0.6667 0.3333 0.5000 (multiplicity 1)
3 Cl 0.3333 0.6667 0.0000 (multiplicity 1)

## Properties
volume = 53.68 Å³ per cell



Arrangement b

## CuAgCl (GGA-PBE)

Data for a relaxed CuAgCl crystal.

Cell lengths 3.2670, 3.2670, 5.8026 Å; angles 90.00, 90.00, 120.00 degrees
Space group P3m1 (No. 156)
Asymmetric unit:
1 Cu 0.0000 0.0000 0.0000 (multiplicity 1)
2 Ag 0.3333 0.6667 0.3280 (multiplicity 1)
3 Cl 0.6667 0.3333 0.7331 (multiplicity 1)

## Properties
volume = 53.64 Å³ per cell



Arrangement c

## CuAgCl (GGA-PBE)

Data for a relaxed CuAgCl crystal.

Cell lengths 3.2995, 5.5426, 11.9540 Å; angles 90.00, 90.00, 90.00 degrees
Space group Fmm2 (No. 42)
Asymmetric unit:
1 Cu 0.0000 0.0000 0.0000 (multiplicity 4)
2 Ag 0.0000 0.0000 0.6676 (multiplicity 4)
3 Cl 0.0000 0.0000 0.3605 (multiplicity 4)

## Properties
volume = 218.61 Å³ per cell



Which of them is the most stable? Correct choice: arrangement b.



Arrangement a

## CuAgCl (GGA-PBE)

Data for a relaxed CuAgCl crystal.

Cell lengths 3.0790, 3.0790, 11.1716 Å; angles 90.00, 90.00, 90.00 degrees
Space group I4mm (No. 107)
Asymmetric unit:
1 Cu 0.0000 0.0000 0.0000 (multiplicity 2)
2 Ag 0.0000 0.0000 0.3451 (multiplicity 2)
3 Cl 0.0000 0.0000 0.6319 (multiplicity 2)

## Properties
volume = 105.91 Å³ per cell



Arrangement b

## CuAgCl (GGA-PBE)

Data for a relaxed CuAgCl crystal.

Cell lengths 6.0223, 3.5109, 11.4606 Å; angles 90.00, 92.84, 90.00 degrees
Space group C2/m (No. 12)
Asymmetric unit:
1 Cu 0.0262 0.0000 0.2439 (multiplicity 4)
2 Ag 0.1757 0.5000 0.0847 (multiplicity 4)
3 Cl 0.1999 0.5000 0.3470 (multiplicity 4)

## Properties
volume = 242.02 Å³ per cell



Arrangement c

## CuAgCl (GGA-PBE)

Data for a relaxed CuAgCl crystal.

Cell lengths 6.2283, 6.2283, 6.2283 Å; angles 90.00, 90.00, 90.00 degrees
Space group F-43m (No. 216)
Asymmetric unit:
1 Cu 0.0000 0.0000 0.0000 (multiplicity 4)
2 Ag 0.2500 0.2500 0.2500 (multiplicity 4)
3 Cl 0.2500 0.2500 0.7500 (multiplicity 4)

## Properties
volume = 241.61 Å³ per cell



Which of them is the most stable? Correct choice: arrangement b.